First-principles (PBE) data for a geometry-optimized Ce3CoGe3 structure, as listed in Alexandria.

It has space group C2/m (No. 12), with a = 10.891 Å, b = 4.190 Å, c = 14.228 Å, α = 90.00°, β = 109.44° and γ = 90.00°. The distinct sites, in fractional coordinates, are Ce at (0.024, 0.000, 0.388), Ce at (0.108, 0.000, 0.920), Ce at (0.246, 0.000, 0.239), Co at (0.238, 0.500, 0.383), Ge at (0.035, 0.500, 0.239), Ge at (0.111, 0.500, 0.076) and Ge at (0.165, 0.500, 0.539).

The calculated volume comes out at 612.2 Å³ per cell. The calculation puts the spin magnetization at 0.338 μB/atom. Its energy relative to the elements is -0.66 eV/atom.